[1]
{"formula": "CdMo4C3", "functional": "GGA-PBE", "state": "optimized geometry", "dft_energy_ev_per_atom": -8.913, "cell": [[3.122, 0.000, 0.000], [-1.561, 2.704, 0.000], [0.000, 0.000, 24.212]], "species": ["Cd", "Cd", "Mo", "Mo", "Mo", "Mo", "Mo", "Mo", "Mo", "Mo", "C", "C", "C", "C", "C", "C"], "fractional_positions": [[0.333, 0.667, 0.250], [0.667, 0.333, 0.750], [0.000, 0.000, 0.148], [0.000, 0.000, 0.352], [0.000, 0.000, 0.648], [0.000, 0.000, 0.852], [0.333, 0.667, 0.054], [0.333, 0.667, 0.446], [0.667, 0.333, 0.554], [0.667, 0.333, 0.946], [0.000, 0.000, 0.000], [0.000, 0.000, 0.500], [0.333, 0.667, 0.607], [0.333, 0.667, 0.893], [0.667, 0.333, 0.107], [0.667, 0.333, 0.393]]}

[2]
{"formula": "HoAgIr", "functional": "GGA-PBE", "state": "optimized geometry", "de_polymorph_mev_per_atom": 344.0, "cell": [[0.000, 3.255, 3.255], [3.255, 0.000, 3.255], [3.255, 3.255, 0.000]], "species": ["Ho", "Ag", "Ir"], "fractional_positions": [[0.000, 0.000, 0.000], [0.750, 0.750, 0.750], [0.250, 0.250, 0.250]]}

[3]
{"formula": "Sc2Ga3GePt2", "functional": "GGA-PBE", "state": "optimized geometry", "dft_energy_ev_per_atom": -5.660, "cell": [[4.928, -2.128, 0.000], [4.928, 2.128, 0.000], [-0.046, 0.000, 6.551]], "species": ["Sc", "Sc", "Ga", "Ga", "Ga", "Ge", "Pt", "Pt"], "fractional_positions": [[0.000, 0.000, 0.000], [0.167, 0.167, 0.500], [0.455, 0.455, 0.295], [0.709, 0.709, 0.799], [0.712, 0.712, 0.204], [0.456, 0.456, 0.705], [0.284, 0.284, 0.997], [0.880, 0.880, 0.505]]}

Number 1: M_tot 0.00 μB per cell. Number 2: M_tot 0.00 μB per cell. Number 3: M_tot 0.00 μB per cell.